# 1
The following is a meta-GGA SCAN calculation of a PBEsol-optimized structure of ScAlCo2, from Alexandria via LeMat-Bulk.

Cell lengths 2.962, 2.962, 5.862 Å; angles 90.00, 90.00, 90.00 degrees
Last column: magnetic moment on the atom in μB.
Fractional positions:
Co 0.000 0.000 0.729  0.30
Co 0.000 0.000 0.271  0.30
Al 0.500 0.500 0.500  -0.02
Sc 0.500 0.500 0.000  -0.14

Summary:
E_form = -0.42 eV/atom
Total DFT energy (no corrections) = -14.571 eV/atom
Total moment = 0.08 μB/atom

# 2
The following is a meta-GGA SCAN calculation of a PBEsol-optimized structure of AlCo3Se, from Alexandria via LeMat-Bulk.

Cell lengths 4.249, 4.249, 4.249 Å; angles 90.00, 90.00, 90.00 degrees
Last column: magnetic moment on the atom in μB.
Fractional positions:
Co 0.500 0.000 0.000  1.35
Co 0.000 0.500 0.000  1.35
Co 0.000 0.000 0.500  1.35
Se 0.500 0.500 0.500  -0.01
Al 0.000 0.000 0.000  -0.07

Summary:
Total DFT energy (no corrections) = -14.950 eV/atom
Total moment = 0.80 μB/atom

# 3
The following is a meta-GGA SCAN calculation of a PBEsol-optimized structure of AlCoSe, from Alexandria via LeMat-Bulk.

Cell lengths 4.087, 4.087, 4.087 Å; angles 60.00, 60.00, 60.00 degrees
Last column: magnetic moment on the atom in μB.
Fractional positions:
Co 0.000 0.000 0.000  1.71
Al 0.250 0.250 0.250  0.00
Se 0.500 0.500 0.500  0.04

Summary:
Distance to the lowest polymorph of the same formula = 0 kJ/mol of formula units
Total DFT energy (no corrections) = -14.726 eV/atom
Total moment = 0.60 μB/atom

# 4
The following is a meta-GGA SCAN calculation of a PBEsol-optimized structure of YAlCo2Se, from Alexandria via LeMat-Bulk.

Cell lengths 4.298, 4.298, 4.973 Å; angles 90.00, 90.00, 90.00 degrees
Last column: magnetic moment on the atom in μB.
Fractional positions:
Al 0.000 0.000 0.500  0.01
Y 0.500 0.500 0.500  -0.06
Co 0.000 0.500 0.000  1.37
Co 0.500 0.000 0.000  1.37
Se 0.000 0.000 0.000  0.02

Summary:
Total DFT energy (no corrections) = -17.778 eV/atom
Total moment = 0.52 μB/atom

# 5
The following is a meta-GGA SCAN calculation of a PBEsol-optimized structure of AlCoSi, from Alexandria via LeMat-Bulk.

Cell lengths 3.851, 3.851, 3.851 Å; angles 60.00, 60.00, 60.00 degrees
Fractional positions:
Co 0.250 0.250 0.250
Al 0.500 0.500 0.500
Si 0.000 0.000 0.000

Summary:
Total DFT energy (no corrections) = -12.050 eV/atom
Total moment = 0.00 μB/atom

# 6
The following is a meta-GGA SCAN calculation of a PBEsol-optimized structure of Al2CoSi, from Alexandria via LeMat-Bulk.

Cell lengths 2.601, 4.027, 5.897 Å; angles 109.97, 102.74, 90.00 degrees
Fractional positions:
Al 0.808 0.308 0.617
Al 0.002 0.002 0.005
Si 0.184 0.684 0.369
Co 0.505 0.505 0.010

Summary:
Total DFT energy (no corrections) = -10.900 eV/atom
Total moment = 0.00 μB/atom